(1)
BeAl2Hg2 after structural relaxation. Source: the Alexandria database, functional PBE.

Values from the calculation:
ΔE_f = 0.336 eV/atom
Symmetry = P4/mbm (127)

Lattice parameters (Å, degrees): 6.4758 6.4758 4.6141 90.00 90.00 90.00
With the nearest neighbours (Å) after each atom.
Atoms (fractional coordinates):
Be (0.0000, 0.0000, 0.0000)  4 Al 2.46
Be (0.5000, 0.5000, 0.0000)  4 Al 2.46
Al (0.1527, 0.3473, 0.0000)  2 Be 2.46
Al (0.3473, 0.8473, 0.0000)  2 Be 2.46
Al (0.6527, 0.1527, 0.0000)  2 Be 2.46
Al (0.8473, 0.6527, 0.0000)  2 Be 2.46
Hg (0.1712, 0.6712, 0.5000)  6 Al 2.82-3.12, 1 Hg 3.13
Hg (0.3288, 0.1712, 0.5000)  6 Al 2.82-3.12, 1 Hg 3.13
Hg (0.6712, 0.8288, 0.5000)  6 Al 2.82-3.12, 1 Hg 3.13
Hg (0.8288, 0.3288, 0.5000)  6 Al 2.82-3.12, 1 Hg 3.13

***

(2)
BaInBiSe2 after structural relaxation. Source: the Alexandria database, functional PBE.

Values from the calculation:
E_form (uncorrected) = -0.05 eV/atom
Symmetry = P4/mmm (123)

Lattice parameters (Å, degrees): 5.7054 5.7054 6.4037 90.00 90.00 90.00
With the nearest neighbours (Å) after each atom.
Atoms (fractional coordinates):
Ba (0.0000, 0.0000, 0.0000)  2 Bi 3.20
In (0.5000, 0.5000, 0.0000)  4 Ba 4.03, 8 Se 4.29
Bi (0.0000, 0.0000, 0.5000)  4 Se 2.85
Se (0.0000, 0.5000, 0.5000)  2 Bi 2.85
Se (0.5000, 0.0000, 0.5000)  2 Bi 2.85

***

(3)
BaHgCl after structural relaxation. Source: the Alexandria database, functional PBE.

Values from the calculation:
E_form (uncorrected) = -0.90 eV/atom
Energy relative to the lowest polymorph listed for this composition = 461 meV per atom
Symmetry = F-43m (216)

Lattice parameters (Å, degrees): 7.7331 7.7331 7.7331 90.00 90.00 90.00
With the nearest neighbours (Å) after each atom.
Atoms (fractional coordinates):
Ba (0.0000, 0.0000, 0.0000)  4 Hg 3.35
Ba (0.0000, 0.5000, 0.5000)  4 Hg 3.35
Ba (0.5000, 0.0000, 0.5000)  4 Hg 3.35
Ba (0.5000, 0.5000, 0.0000)  4 Hg 3.35
Hg (0.2500, 0.2500, 0.7500)  4 Ba 3.35, 4 Cl 3.35
Hg (0.2500, 0.7500, 0.2500)  4 Ba 3.35, 4 Cl 3.35
Hg (0.7500, 0.2500, 0.2500)  4 Ba 3.35, 4 Cl 3.35
Hg (0.7500, 0.7500, 0.7500)  4 Ba 3.35, 4 Cl 3.35
Cl (0.0000, 0.0000, 0.5000)  4 Hg 3.35
Cl (0.0000, 0.5000, 0.0000)  4 Hg 3.35
Cl (0.5000, 0.0000, 0.0000)  4 Hg 3.35
Cl (0.5000, 0.5000, 0.5000)  4 Hg 3.35

***

(4)
ZrAl2Cu5 after structural relaxation. Source: the Alexandria database, functional PBE.

Values from the calculation:
ΔE_f = -0.132 eV/atom
Energy relative to the lowest polymorph listed for this composition = 29 meV per atom
Symmetry = I4/mmm (139)

Lattice parameters (Å, degrees): 4.3974 4.3974 11.6417 90.00 90.00 90.00
With the nearest neighbours (Å) after each atom.
Atoms (fractional coordinates):
Zr (0.0000, 0.0000, 0.0000)  8 Cu 2.69
Zr (0.5000, 0.5000, 0.5000)  8 Cu 2.69
Al (0.0000, 0.0000, 0.2588)  9 Cu 2.54-2.81
Al (0.0000, 0.0000, 0.7412)  9 Cu 2.54-2.81
Al (0.5000, 0.5000, 0.2412)  9 Cu 2.54-2.81
Al (0.5000, 0.5000, 0.7588)  9 Cu 2.54-2.81
Cu (0.0000, 0.0000, 0.5000)  8 Cu 2.69, 2 Al 2.81
Cu (0.0000, 0.5000, 0.1328)  4 Al 2.54-2.64, 2 Zr 2.69, 3 Cu 2.69-2.73
Cu (0.0000, 0.5000, 0.3672)  4 Al 2.54-2.64, 2 Zr 2.69, 3 Cu 2.69-2.73
Cu (0.0000, 0.5000, 0.6328)  4 Al 2.54-2.64, 2 Zr 2.69, 3 Cu 2.69-2.73
Cu (0.0000, 0.5000, 0.8672)  4 Al 2.54-2.64, 2 Zr 2.69, 3 Cu 2.69-2.73
Cu (0.5000, 0.0000, 0.1328)  4 Al 2.54-2.64, 2 Zr 2.69, 3 Cu 2.69-2.73
Cu (0.5000, 0.0000, 0.3672)  4 Al 2.54-2.64, 2 Zr 2.69, 3 Cu 2.69-2.73
Cu (0.5000, 0.0000, 0.6328)  4 Al 2.54-2.64, 2 Zr 2.69, 3 Cu 2.69-2.73
Cu (0.5000, 0.0000, 0.8672)  4 Al 2.54-2.64, 2 Zr 2.69, 3 Cu 2.69-2.73
Cu (0.5000, 0.5000, 0.0000)  8 Cu 2.69, 2 Al 2.81

***

(5)
AlZnTc2 after structural relaxation. Source: the Alexandria database, functional PBE.

Values from the calculation:
ΔE_f = -0.207 eV/atom
Energy relative to the lowest polymorph listed for this composition = 0 meV per atom
Symmetry = P4mm (99)

Lattice parameters (Å, degrees): 3.0273 3.0273 6.2578 90.00 90.00 90.00
With the nearest neighbours (Å) after each atom.
Atoms (fractional coordinates):
Al (0.0000, 0.0000, 0.0000)  4 Tc 2.64, 4 Zn 2.65
Zn (0.5000, 0.5000, 0.7491)  4 Al 2.65, 4 Tc 2.69
Tc (0.0000, 0.0000, 0.4892)  4 Tc 2.62, 4 Zn 2.69
Tc (0.5000, 0.5000, 0.2473)  4 Tc 2.62, 4 Al 2.64

***

(6)
NaMnCr after structural relaxation. Source: the Alexandria database, functional PBE.

Values from the calculation:
ΔE_f = 0.667 eV/atom
Energy relative to the lowest polymorph listed for this composition = 238 meV per atom
Symmetry = Cm (8)

Lattice parameters (Å, degrees): 4.4303 2.8716 7.4762 90.00 106.65 90.00
With the nearest neighbours (Å) after each atom.
Atoms (fractional coordinates):
Na (0.0000, 0.0000, 0.0000)  6 Na 2.64-2.87
Na (0.5000, 0.5000, 0.0000)  6 Na 2.64-2.87
Mn (0.1888, 0.5000, 0.3768)  2 Cr 2.22
Mn (0.6888, 0.0000, 0.3768)  2 Cr 2.22
Cr (0.3035, 0.0000, 0.6127)  2 Mn 2.22
Cr (0.8035, 0.5000, 0.6127)  2 Mn 2.22

***

(7)
MnZnSi2 after structural relaxation. Source: the Alexandria database, functional PBE.

Values from the calculation:
E_form (uncorrected) = 0.08 eV/atom
Symmetry = Pm (6)

Lattice parameters (Å, degrees): 2.7275 4.4248 4.7072 90.00 106.67 90.00
With the nearest neighbours (Å) after each atom.
Atoms (fractional coordinates):
Mn (0.0000, 0.0000, 0.0000)  5 Si 2.46-2.52, 2 Mn 2.73, 4 Zn 2.73
Zn (0.5902, 0.5000, 0.1867)  5 Si 2.46-2.52, 2 Zn 2.73, 4 Mn 2.73
Si (0.7256, 0.0000, 0.4553)  3 Mn 2.46, 2 Zn 2.52, 4 Si 2.54-2.73
Si (0.8658, 0.5000, 0.7331)  3 Zn 2.46, 2 Mn 2.52, 4 Si 2.54-2.73

***

(8)
Tb12Sm6Th after structural relaxation. Source: the Alexandria database, functional PBE.

Values from the calculation:
ΔE_f = 0.144 eV/atom
Energy relative to the lowest polymorph listed for this composition = 0 meV per atom
Symmetry = R-3 (148)

Lattice parameters (Å, degrees): 8.5870 8.5870 8.5870 89.05 89.05 89.05
With the nearest neighbours (Å) after each atom.
Atoms (fractional coordinates):
Tb (0.0120, 0.2066, 0.3495)  4 Tb 3.43-3.57, 4 Sm 3.49-3.75, 1 Th 3.52
Tb (0.2066, 0.3495, 0.0120)  4 Tb 3.43-3.57, 4 Sm 3.49-3.75, 1 Th 3.52
Tb (0.2249, 0.4601, 0.5604)  6 Tb 3.30-3.59, 3 Sm 3.36-3.46
Tb (0.3495, 0.0120, 0.2066)  4 Tb 3.43-3.57, 4 Sm 3.49-3.75, 1 Th 3.52
Tb (0.4396, 0.7751, 0.5399)  6 Tb 3.30-3.59, 3 Sm 3.36-3.46
Tb (0.4601, 0.5604, 0.2249)  6 Tb 3.30-3.59, 3 Sm 3.36-3.46
Tb (0.5399, 0.4396, 0.7751)  6 Tb 3.30-3.59, 3 Sm 3.36-3.46
Tb (0.5604, 0.2249, 0.4601)  6 Tb 3.30-3.59, 3 Sm 3.36-3.46
Tb (0.6505, 0.9880, 0.7934)  4 Tb 3.43-3.57, 4 Sm 3.49-3.75, 1 Th 3.52
Tb (0.7751, 0.5399, 0.4396)  6 Tb 3.30-3.59, 3 Sm 3.36-3.46
Tb (0.7934, 0.6505, 0.9880)  4 Tb 3.43-3.57, 4 Sm 3.49-3.75, 1 Th 3.52
Tb (0.9880, 0.7934, 0.6505)  4 Tb 3.43-3.57, 4 Sm 3.49-3.75, 1 Th 3.52
Sm (0.0896, 0.6911, 0.2563)  7 Tb 3.36-3.75, 1 Th 3.50, 2 Sm 3.52
Sm (0.2563, 0.0896, 0.6911)  7 Tb 3.36-3.75, 1 Th 3.50, 2 Sm 3.52
Sm (0.3089, 0.7437, 0.9104)  7 Tb 3.36-3.75, 1 Th 3.50, 2 Sm 3.52
Sm (0.6911, 0.2563, 0.0896)  7 Tb 3.36-3.75, 1 Th 3.50, 2 Sm 3.52
Sm (0.7437, 0.9104, 0.3089)  7 Tb 3.36-3.75, 1 Th 3.50, 2 Sm 3.52
Sm (0.9104, 0.3089, 0.7437)  7 Tb 3.36-3.75, 1 Th 3.50, 2 Sm 3.52
Th (0.0000, 0.0000, 0.0000)  6 Sm 3.50, 6 Tb 3.52

***

(9)
Zn2IrBr after structural relaxation. Source: the Alexandria database, functional PBE.

Values from the calculation:
E_form (uncorrected) = 0.26 eV/atom
Energy relative to the lowest polymorph listed for this composition = 344 meV per atom
Symmetry = P4/mmm (123)

Lattice parameters (Å, degrees): 4.6518 4.6518 3.0904 90.00 90.00 90.00
With the nearest neighbours (Å) after each atom.
Atoms (fractional coordinates):
Zn (0.0000, 0.5000, 0.0000)  4 Br 2.79, 4 Ir 2.79, 2 Zn 3.09
Zn (0.5000, 0.0000, 0.0000)  4 Br 2.79, 4 Ir 2.79, 2 Zn 3.09
Ir (0.0000, 0.0000, 0.5000)  8 Zn 2.79, 2 Ir 3.09
Br (0.5000, 0.5000, 0.5000)  8 Zn 2.79, 2 Br 3.09

***

(10)
Ca2TlP after structural relaxation. Source: the Alexandria database, functional PBE.

Values from the calculation:
ΔE_f = -0.474 eV/atom
Energy relative to the lowest polymorph listed for this composition = 198 meV per atom
Symmetry = I-42d (122)

Lattice parameters (Å, degrees): 8.1824 8.1824 7.1593 90.00 90.00 90.00
With the nearest neighbours (Å) after each atom.
Atoms (fractional coordinates):
Ca (0.1961, 0.2500, 0.1250)  2 P 2.75
Ca (0.2500, 0.6961, 0.3750)  2 P 2.75
Ca (0.2500, 0.8039, 0.8750)  2 P 2.75
Ca (0.3039, 0.2500, 0.6250)  2 P 2.75
Ca (0.6961, 0.7500, 0.6250)  2 P 2.75
Ca (0.7500, 0.1961, 0.8750)  2 P 2.75
Ca (0.7500, 0.3039, 0.3750)  2 P 2.75
Ca (0.8039, 0.7500, 0.1250)  2 P 2.75
Tl (0.0000, 0.0000, 0.5000)  8 Ca 3.34-3.74, 2 P 3.58
Tl (0.0000, 0.5000, 0.7500)  8 Ca 3.34-3.74, 2 P 3.58
Tl (0.5000, 0.0000, 0.2500)  8 Ca 3.34-3.74, 2 P 3.58
Tl (0.5000, 0.5000, 0.0000)  8 Ca 3.34-3.74, 2 P 3.58
P (0.0000, 0.0000, 0.0000)  4 Ca 2.75
P (0.0000, 0.5000, 0.2500)  4 Ca 2.75
P (0.5000, 0.0000, 0.7500)  4 Ca 2.75
P (0.5000, 0.5000, 0.5000)  4 Ca 2.75

***

(11)
SrLaScGa2 after structural relaxation. Source: the Alexandria database, functional PBE.

Values from the calculation:
ΔE_f = 0.843 eV/atom
Symmetry = P4/mmm (123)

Lattice parameters (Å, degrees): 5.5848 5.5848 5.9766 90.00 90.00 90.00
With the nearest neighbours (Å) after each atom.
Atoms (fractional coordinates):
Sr (0.0000, 0.0000, 0.0000)  2 La 2.99
La (0.0000, 0.0000, 0.5000)  4 Ga 2.79, 2 Sr 2.99
Sc (0.5000, 0.5000, 0.0000)  4 Sr 3.95, 8 Ga 4.09
Ga (0.0000, 0.5000, 0.5000)  2 La 2.79
Ga (0.5000, 0.0000, 0.5000)  2 La 2.79

***

(12)
KCu2TcO6 after structural relaxation. Source: the Alexandria database, functional PBE.

Values from the calculation:
E_form (uncorrected) = -1.09 eV/atom
Symmetry = C2/c (15)

Lattice parameters (Å, degrees): 7.1890 7.1890 7.4143 103.67 103.67 100.92
With the nearest neighbours (Å) after each atom.
Atoms (fractional coordinates):
K (0.2278, 0.7722, 0.7500)  4 O 2.61-2.91
K (0.7722, 0.2278, 0.2500)  4 O 2.61-2.91
Cu (0.3659, 0.3801, 0.8181)  4 O 1.91-1.94
Cu (0.3801, 0.3659, 0.3181)  4 O 1.91-1.94
Cu (0.6199, 0.6341, 0.6819)  4 O 1.91-1.94
Cu (0.6341, 0.6199, 0.1819)  4 O 1.91-1.94
Tc (0.1108, 0.8892, 0.2500)  4 O 1.73-1.78
Tc (0.8892, 0.1108, 0.7500)  4 O 1.73-1.78
O (0.1219, 0.7148, 0.0496)  1 Tc 1.73
O (0.1292, 0.1616, 0.7172)  1 Tc 1.78, 1 Cu 1.94
O (0.1616, 0.1292, 0.2172)  1 Tc 1.78, 1 Cu 1.94
O (0.2852, 0.8781, 0.4504)  1 Tc 1.73
O (0.3680, 0.4380, 0.5787)  3 Cu 1.91-1.93
O (0.4380, 0.3680, 0.0787)  3 Cu 1.91-1.93
O (0.5620, 0.6320, 0.9213)  3 Cu 1.91-1.93
O (0.6320, 0.5620, 0.4213)  3 Cu 1.91-1.93
O (0.7148, 0.1219, 0.5496)  1 Tc 1.73
O (0.8384, 0.8708, 0.7828)  1 Tc 1.78, 1 Cu 1.94
O (0.8708, 0.8384, 0.2828)  1 Tc 1.78, 1 Cu 1.94
O (0.8781, 0.2852, 0.9504)  1 Tc 1.73